1.
This record from the Alexandria database describes a relaxed LiMg2S2 crystal. The functional is PBE-GGA.

Geometry as CIF:
```
data_LiMg2S2
_chemical_formula_sum 'Li1 Mg2 S2'
_cell_length_a 4.8369
_cell_length_b 4.8369
_cell_length_c 5.7746
_cell_angle_alpha 65.24
_cell_angle_beta 65.24
_cell_angle_gamma 90.00
_symmetry_space_group_name_H-M 'P 1'
_symmetry_Int_Tables_number 1
loop_
_symmetry_equiv_pos_as_xyz
'x,y,z'
loop_
_atom_site_label
_atom_site_type_symbol
_atom_site_fract_x
_atom_site_fract_y
_atom_site_fract_z
Li1 Li 0.0000 0.0000 0.0000
S1 S 0.7500 0.2500 0.5000
S2 S 0.2500 0.7500 0.5000
Mg1 Mg 0.6666 0.6666 0.6669
Mg2 Mg 0.3334 0.3334 0.3331
```

Computed properties:
E above lowest polymorph ... 0.163 eV/atom

***

2.
This record from the Alexandria database describes a relaxed Tm6SbAs2P3 crystal. The functional is PBE-GGA.

Geometry as CIF:
```
data_Tm6SbAs2P3
_chemical_formula_sum 'Tm6 Sb1 As2 P3'
_cell_length_a 4.0325
_cell_length_b 8.1360
_cell_length_c 9.0658
_cell_angle_alpha 103.18
_cell_angle_beta 102.85
_cell_angle_gamma 90.00
_symmetry_space_group_name_H-M 'P 1'
_symmetry_Int_Tables_number 1
loop_
_symmetry_equiv_pos_as_xyz
'x,y,z'
loop_
_atom_site_label
_atom_site_type_symbol
_atom_site_fract_x
_atom_site_fract_y
_atom_site_fract_z
Tm1 Tm 0.3262 0.9171 0.6524
Tm2 Tm 0.6738 0.0829 0.3476
Tm3 Tm 0.0014 0.7321 0.0028
Tm4 Tm 0.3336 0.4129 0.6672
Tm5 Tm 0.9986 0.2679 0.9972
Tm6 Tm 0.6664 0.5871 0.3328
P1 P 0.5000 0.5000 0.0000
P2 P 0.8342 0.1681 0.6683
P3 P 0.1658 0.8319 0.3317
As1 As 0.8332 0.6661 0.6664
As2 As 0.1668 0.3339 0.3336
Sb1 Sb 0.5000 0.0000 0.0000
```

***

3.
This record from the Alexandria database describes a relaxed Hf4Th2Ge3N2 crystal. The functional is PBE-GGA.

Geometry as CIF:
```
data_Hf4Th2Ge3N2
_chemical_formula_sum 'Hf4 Th2 Ge3 N2'
_cell_length_a 4.3357
_cell_length_b 4.3357
_cell_length_c 12.0571
_cell_angle_alpha 100.36
_cell_angle_beta 100.36
_cell_angle_gamma 90.00
_symmetry_space_group_name_H-M 'P 1'
_symmetry_Int_Tables_number 1
loop_
_symmetry_equiv_pos_as_xyz
'x,y,z'
loop_
_atom_site_label
_atom_site_type_symbol
_atom_site_fract_x
_atom_site_fract_y
_atom_site_fract_z
N1 N 0.5878 0.5878 0.1756
N2 N 0.4122 0.4122 0.8244
Th1 Th 0.6953 0.6953 0.3906
Th2 Th 0.3047 0.3047 0.6094
Ge1 Ge 0.1669 0.1669 0.3337
Ge2 Ge 0.8331 0.8331 0.6663
Ge3 Ge 0.0000 0.0000 0.0000
Hf1 Hf 0.0759 0.5759 0.1518
Hf2 Hf 0.5759 0.0759 0.1518
Hf3 Hf 0.9241 0.4241 0.8482
Hf4 Hf 0.4241 0.9241 0.8482
```

***

4.
This record from the Alexandria database describes a relaxed La2TbTm crystal. The functional is PBE-GGA.

Geometry as CIF:
```
data_La2TbTm
_chemical_formula_sum 'La2 Tb1 Tm1'
_cell_length_a 4.1833
_cell_length_b 4.1833
_cell_length_c 7.8277
_cell_angle_alpha 90.00
_cell_angle_beta 90.00
_cell_angle_gamma 90.00
_symmetry_space_group_name_H-M 'P 1'
_symmetry_Int_Tables_number 1
loop_
_symmetry_equiv_pos_as_xyz
'x,y,z'
loop_
_atom_site_label
_atom_site_type_symbol
_atom_site_fract_x
_atom_site_fract_y
_atom_site_fract_z
Tb1 Tb 0.5000 0.5000 0.0000
La1 La 0.0000 0.0000 0.7436
La2 La 0.0000 0.0000 0.2564
Tm1 Tm 0.5000 0.5000 0.5000
```

Computed properties:
Formation energy ... 0.0739 eV/atom
E above lowest polymorph ... 0.060 eV/atom

***

5.
This record from the Alexandria database describes a relaxed LaY5Ho3 crystal. The functional is PBE-GGA.

Geometry as CIF:
```
data_LaY5Ho3
_chemical_formula_sum 'La2 Y10 Ho6'
_cell_length_a 8.6331
_cell_length_b 8.6331
_cell_length_c 9.9385
_cell_angle_alpha 115.74
_cell_angle_beta 115.74
_cell_angle_gamma 90.00
_symmetry_space_group_name_H-M 'P 1'
_symmetry_Int_Tables_number 1
loop_
_symmetry_equiv_pos_as_xyz
'x,y,z'
loop_
_atom_site_label
_atom_site_type_symbol
_atom_site_fract_x
_atom_site_fract_y
_atom_site_fract_z
Y1 Y 0.4365 0.3349 0.2714
Y2 Y 0.3349 0.8349 0.2714
Y3 Y 0.6651 0.1651 0.7286
Y4 Y 0.0635 0.5635 0.7286
Y5 Y 0.1651 0.0635 0.7286
Y6 Y 0.5000 0.5000 0.0000
Y7 Y 0.0000 0.0000 0.0000
Y8 Y 0.5635 0.6651 0.7286
Y9 Y 0.8349 0.9365 0.2714
Y10 Y 0.9365 0.4365 0.2714
Ho1 Ho 0.6199 0.1199 0.0000
Ho2 Ho 0.3801 0.8801 0.0000
Ho3 Ho 0.7500 0.7500 0.5000
Ho4 Ho 0.2500 0.2500 0.5000
Ho5 Ho 0.8801 0.6199 0.0000
Ho6 Ho 0.1199 0.3801 0.0000
La1 La 0.7500 0.2500 0.5000
La2 La 0.2500 0.7500 0.5000
```

Computed properties:
Formation energy ... 0.2629 eV/atom
E above lowest polymorph ... 0.000 eV/atom

***

| no. | D(E_F) (states/eV per atom) | calculated density (g/cm3) | total energy (eV/atom) |
| --- | --- | --- | --- |
| 1 | 0.32 | 1.83 | -3.44 |
| 2 | 0.15 | 8.12 | -6.16 |
| 3 | 0.61 | 10.79 | -8.73 |
| 4 | 1.64 | 7.34 | -4.67 |
| 5 | 1.25 | 6.13 | -5.40 |